Compound: Pm2ErPuAs4
Source: Alexandria
Functional: PBE
Structure: optimized geometry

```
data_Pm2ErPuAs4
_space_group_name_H-M_alt 'P 1'
_space_group_IT_number 1
_space_group_name_Hall 'P 1'
_cell_length_a 7.214
_cell_length_b 4.180
_cell_length_c 7.221
_cell_angle_alpha 90.00
_cell_angle_beta 109.45
_cell_angle_gamma 90.00
loop_
_atom_site_label
_atom_site_type_symbol
_atom_site_fract_x
_atom_site_fract_y
_atom_site_fract_z
Pm1 Pm 0.000 0.000 0.000
Pm2 Pm 0.500 0.500 0.000
Er1 Er 0.000 0.500 0.500
Pu1 Pu 0.500 0.000 0.500
As1 As 0.247 0.000 0.740
As2 As 0.253 0.500 0.260
As3 As 0.747 0.500 0.740
As4 As 0.753 0.000 0.260
```

Computed properties:
- Formation energy from the elements: -1.385 eV per atom
- Energy: -58.075 eV for the cell shown
- Magnetic moment: 0.62 μB per atom

Compound: Ca3Np3RuN8
Source: Alexandria
Functional: PBE
Structure: optimized geometry

```
data_Ca3Np3RuN8
_space_group_name_H-M_alt 'P 1'
_space_group_IT_number 1
_space_group_name_Hall 'P 1'
_cell_length_a 6.835
_cell_length_b 6.835
_cell_length_c 6.835
_cell_angle_alpha 58.43
_cell_angle_beta 58.43
_cell_angle_gamma 58.43
loop_
_atom_site_label
_atom_site_type_symbol
_atom_site_fract_x
_atom_site_fract_y
_atom_site_fract_z
Ca1 Ca 0.000 0.500 0.500
Ca2 Ca 0.500 0.000 0.500
Ca3 Ca 0.500 0.500 0.000
Np1 Np 0.000 0.000 0.500
Np2 Np 0.000 0.500 0.000
Np3 Np 0.500 0.000 0.000
Ru1 Ru 0.500 0.500 0.500
N1 N 0.233 0.733 0.733
N2 N 0.241 0.241 0.241
N3 N 0.267 0.267 0.767
N4 N 0.267 0.767 0.267
N5 N 0.733 0.233 0.733
N6 N 0.733 0.733 0.233
N7 N 0.759 0.759 0.759
N8 N 0.767 0.267 0.267
```

Computed properties:
- Formation energy without anion corrections: -13.19 eV/f.u.
- Energy: -133.898 eV for the cell shown
- Magnetic moment: 0.33 μB per atom

Compound: Pm6Ir3Pt
Source: Alexandria
Functional: PBE
Structure: optimized geometry

```
data_Pm6Ir3Pt
_space_group_name_H-M_alt 'P 1'
_space_group_IT_number 1
_space_group_name_Hall 'P 1'
_cell_length_a 9.319
_cell_length_b 4.586
_cell_length_c 12.842
_cell_angle_alpha 90.00
_cell_angle_beta 110.99
_cell_angle_gamma 90.00
loop_
_atom_site_label
_atom_site_type_symbol
_atom_site_fract_x
_atom_site_fract_y
_atom_site_fract_z
Pm1 Pm 0.003 0.250 0.381
Pm2 Pm 0.107 0.250 0.124
Pm3 Pm 0.194 0.250 0.852
Pm4 Pm 0.340 0.750 0.520
Pm5 Pm 0.428 0.750 0.273
Pm6 Pm 0.495 0.750 0.892
Pm7 Pm 0.505 0.250 0.108
Pm8 Pm 0.572 0.250 0.727
Pm9 Pm 0.660 0.250 0.480
Pm10 Pm 0.806 0.750 0.148
Pm11 Pm 0.893 0.750 0.876
Pm12 Pm 0.997 0.750 0.619
Ir1 Ir 0.112 0.750 0.274
Ir2 Ir 0.290 0.750 0.017
Ir3 Ir 0.327 0.250 0.359
Ir4 Ir 0.673 0.750 0.641
Ir5 Ir 0.710 0.250 0.983
Ir6 Ir 0.888 0.250 0.726
Pt1 Pt 0.221 0.250 0.626
Pt2 Pt 0.779 0.750 0.374
```

Computed properties:
- Formation energy from the elements: -0.695 eV per atom
- Energy above the most stable polymorph in this dataset: 0.00 kcal/mol of atoms
- Energy: -136.160 eV for the cell shown
- Magnetic moment: 0.00 μB per atom

Compound: PmPu2Cd
Source: Alexandria
Functional: PBE
Structure: optimized geometry

```
data_PmPu2Cd
_space_group_name_H-M_alt 'P 1'
_space_group_IT_number 1
_space_group_name_Hall 'P 1'
_cell_length_a 4.161
_cell_length_b 4.161
_cell_length_c 6.638
_cell_angle_alpha 90.00
_cell_angle_beta 90.00
_cell_angle_gamma 90.00
loop_
_atom_site_label
_atom_site_type_symbol
_atom_site_fract_x
_atom_site_fract_y
_atom_site_fract_z
Pm1 Pm 0.000 0.000 0.000
Pu1 Pu 0.500 0.500 0.269
Pu2 Pu 0.500 0.500 0.731
Cd1 Cd 0.000 0.000 0.500
```

Computed properties:
- Formation energy from the elements: 0.170 eV per atom
- Energy above the most stable polymorph in this dataset: 2.61 kcal/mol of atoms
- Energy: -33.651 eV for the cell shown
- Magnetic moment: 3.31 μB per atom

Compound: LaPrPa2O8
Source: Alexandria
Functional: PBE
Structure: optimized geometry

```
data_LaPrPa2O8
_space_group_name_H-M_alt 'P 1'
_space_group_IT_number 1
_space_group_name_Hall 'P 1'
_cell_length_a 6.732
_cell_length_b 6.732
_cell_length_c 6.732
_cell_angle_alpha 131.22
_cell_angle_beta 131.22
_cell_angle_gamma 71.46
loop_
_atom_site_label
_atom_site_type_symbol
_atom_site_fract_x
_atom_site_fract_y
_atom_site_fract_z
La1 La 0.000 0.000 0.000
Pr1 Pr 0.750 0.250 0.500
Pa1 Pa 0.250 0.750 0.500
Pa2 Pa 0.500 0.500 0.000
O1 O 0.147 0.125 0.523
O2 O 0.147 0.624 0.022
O3 O 0.376 0.398 0.523
O4 O 0.376 0.853 0.978
O5 O 0.602 0.125 0.978
O6 O 0.602 0.624 0.477
O7 O 0.875 0.398 0.022
O8 O 0.875 0.853 0.477
```

Computed properties:
- Formation energy without anion corrections: -43.85 eV/f.u.
- Energy: -112.219 eV for the cell shown
- Magnetic moment: 0.00 μB per atom

Compound: InSiTc2
Source: Alexandria
Functional: PBE
Structure: optimized geometry

```
data_InSiTc2
_space_group_name_H-M_alt 'P 1'
_space_group_IT_number 1
_space_group_name_Hall 'P 1'
_cell_length_a 8.901
_cell_length_b 8.901
_cell_length_c 8.901
_cell_angle_alpha 19.01
_cell_angle_beta 19.01
_cell_angle_gamma 19.01
loop_
_atom_site_label
_atom_site_type_symbol
_atom_site_fract_x
_atom_site_fract_y
_atom_site_fract_z
In1 In 0.000 0.000 0.000
Si1 Si 0.238 0.238 0.238
Tc1 Tc 0.500 0.500 0.500
Tc2 Tc 0.756 0.756 0.756
```

Computed properties:
- Energy above the most stable polymorph in this dataset: 4.97 kcal/mol of atoms
- Formation energy without anion corrections: 0.52 eV/f.u.
- Energy: -28.376 eV for the cell shown
- Magnetic moment: 0.00 μB per atom

Compound: La8Ga3HgBr4
Source: Alexandria
Functional: PBE
Structure: optimized geometry

```
data_La8Ga3HgBr4
_space_group_name_H-M_alt 'P 1'
_space_group_IT_number 1
_space_group_name_Hall 'P 1'
_cell_length_a 8.834
_cell_length_b 8.834
_cell_length_c 8.834
_cell_angle_alpha 60.91
_cell_angle_beta 60.91
_cell_angle_gamma 60.91
loop_
_atom_site_label
_atom_site_type_symbol
_atom_site_fract_x
_atom_site_fract_y
_atom_site_fract_z
La1 La 0.237 0.752 0.752
La2 La 0.244 0.244 0.244
La3 La 0.248 0.248 0.763
La4 La 0.248 0.763 0.248
La5 La 0.752 0.237 0.752
La6 La 0.752 0.752 0.237
La7 La 0.756 0.756 0.756
La8 La 0.763 0.248 0.248
Ga1 Ga 0.000 0.000 0.500
Ga2 Ga 0.000 0.500 0.000
Ga3 Ga 0.500 0.000 0.000
Hg1 Hg 0.500 0.500 0.500
Br1 Br 0.000 0.000 0.000
Br2 Br 0.000 0.500 0.500
Br3 Br 0.500 0.000 0.500
Br4 Br 0.500 0.500 0.000
```

Computed properties:
- Formation energy without anion corrections: -14.87 eV/f.u.
- Energy: -70.360 eV for the cell shown
- Magnetic moment: 0.00 μB per atom

Compound: RbBaLa2Ir
Source: Alexandria
Functional: PBE
Structure: optimized geometry

```
data_RbBaLa2Ir
_space_group_name_H-M_alt 'P 1'
_space_group_IT_number 1
_space_group_name_Hall 'P 1'
_cell_length_a 5.723
_cell_length_b 5.723
_cell_length_c 6.638
_cell_angle_alpha 90.00
_cell_angle_beta 90.00
_cell_angle_gamma 90.00
loop_
_atom_site_label
_atom_site_type_symbol
_atom_site_fract_x
_atom_site_fract_y
_atom_site_fract_z
Rb1 Rb 0.000 0.000 0.000
Ba1 Ba 0.500 0.500 0.000
La1 La 0.000 0.500 0.500
La2 La 0.500 0.000 0.500
Ir1 Ir 0.500 0.500 0.500
```

Computed properties:
- Formation energy from the elements: -0.137 eV per atom
- Energy above the most stable polymorph in this dataset: 0.00 kcal/mol of atoms
- Energy: -22.291 eV for the cell shown
- Magnetic moment: 0.00 μB per atom